Density functional theory data (PBE) for a relaxed P2PbW crystal.

Cell: 7.7443 7.7443 7.7443 Å, 156.35 154.54 35.03°
Last column: nearest neighbours and their distance in Å.
Atoms (fractional coordinates):
P1 0.0000 0.0000 0.0000  4 W 2.52
P2 0.6871 0.1871 0.5000  2 W 2.39
Pb1 0.3375 0.8375 0.5000  6 P 2.95-3.22, 2 Pb 3.17
W1 0.5658 0.5658 0.0000  6 P 2.39-2.52

Results
**Calculated density**: 9.4 Mg/m³
**DOS(E_F)**: 1.43 states/eV per cell
**DFT formation energy**: 0.10 eV/atom
**Space group**: Imm2, No. 44
**VASP energy**: -6.769 eV/atom